[1]
The following is a PBE calculation of an optimized crystal structure of HfFeTe2I, from Alexandria via LeMat-Bulk.

Symmetry ... P4/mmm, No. 123

```
HfFeTe2I
1.0
5.021 0.000 0.000
0.000 5.021 0.000
0.000 0.000 5.036
Hf Fe Te I
1 1 2 1
Direct
0.000 0.000 0.000
0.500 0.500 0.500
0.000 0.500 0.500
0.500 0.000 0.500
0.500 0.500 0.000
```

[2]
The following is a PBE calculation of an optimized crystal structure of HfFeTeI2, from Alexandria via LeMat-Bulk.

Symmetry ... P4/mmm, No. 123

```
HfFeTeI2
1.0
5.029 0.000 0.000
0.000 5.029 0.000
0.000 0.000 5.141
Hf Fe Te I
1 1 1 2
Direct
0.000 0.000 0.000
0.500 0.500 0.500
0.500 0.500 0.000
0.000 0.500 0.500
0.500 0.000 0.500
```

[3]
The following is a PBE calculation of an optimized crystal structure of HfFeTe2I, from Alexandria via LeMat-Bulk.

Symmetry ... P4/mmm, No. 123

```
HfFeTe2I
1.0
5.568 0.000 0.000
0.000 5.568 0.000
0.000 0.000 5.731
Hf Fe Te I
1 1 2 1
Direct
0.000 0.000 0.000
0.500 0.500 0.500
0.000 0.500 0.000
0.500 0.000 0.000
0.000 0.000 0.500
```

[4]
The following is a PBE calculation of an optimized crystal structure of HfFeTeI2, from Alexandria via LeMat-Bulk.

Symmetry ... P4/mmm, No. 123

```
HfFeTeI2
1.0
5.731 0.000 0.000
0.000 5.731 0.000
0.000 0.000 5.553
Hf Fe Te I
1 1 1 2
Direct
0.000 0.000 0.000
0.500 0.500 0.500
0.000 0.000 0.500
0.000 0.500 0.000
0.500 0.000 0.000
```

Calculated total energy across the listed records, respectively: -23.2 -21.2 -24.1 -22.5 eV/f.u..
Calculated density across the listed records, respectively: 8.06 7.86 5.76 5.61 g/cm³.
Uncorrected formation energy across the listed records, respectively: 0.606 0.689 0.440 0.423 eV per atom.